Density functional theory data (PBE) for an optimized crystal structure of Cs3Bi2Pb2.

Cell and atoms, written as POSCAR:
```
Cs3Bi2Pb2
1.0
7.514 0.000 0.000
0.000 11.023 0.000
0.000 0.000 16.677
Cs Bi Pb
12 8 8
direct
0.111 0.642 0.108
0.889 0.358 0.608
0.889 0.142 0.392
0.111 0.858 0.892
0.889 0.358 0.892
0.111 0.642 0.392
0.111 0.858 0.608
0.889 0.142 0.108
0.328 0.283 0.250
0.672 0.717 0.750
0.672 0.783 0.250
0.328 0.217 0.750
0.393 0.250 0.000
0.607 0.750 0.500
0.607 0.750 0.000
0.393 0.250 0.500
0.804 0.435 0.250
0.196 0.565 0.750
0.196 0.935 0.250
0.804 0.065 0.750
0.615 0.473 0.084
0.385 0.527 0.584
0.385 0.973 0.416
0.615 0.027 0.916
0.385 0.527 0.916
0.615 0.473 0.416
0.615 0.027 0.584
0.385 0.973 0.084
```

* symmetry: No. 57
* calculated volume: 49.3 A^3/atom

Density functional theory data (PBE) for an optimized crystal structure of BaLiAl2.

Cell and atoms, written as POSCAR:
```
BaLiAl2
1.0
6.064 -0.011 -0.026
-3.002 5.269 -0.026
0.015 0.026 3.328
Al Ba Li
2 1 1
direct
0.000 0.000 0.000
0.500 0.500 0.000
0.500 0.000 0.500
0.000 0.500 0.500
```

* symmetry: No. 65
* energy above the lowest structure with this stoichiometry: 405 meV per atom
* calculated volume: 26.6 A^3/atom

We obtain energy relative to the elements values of -0.237, 0.227 eV per atom for the records listed above, in that order.
We obtain total moment values of 0.0, 0.0 μB/f.u. for the records listed above, in that order.